1.
# CuNi12Ge6 (PBE-GGA, relaxed)
# - E_form (meV/atom) = -200
# - calculated volume (Å³ per cell) = 712
# - crystal system = trigonal
data_CuNi12Ge6
_cell_length_a 10.6907
_cell_length_b 10.6907
_cell_length_c 7.1959
_cell_angle_alpha 90.00
_cell_angle_beta 90.00
_cell_angle_gamma 120.00
_symmetry_space_group_name_H-M 'R -3'
_symmetry_Int_Tables_number 148
_symmetry_space_group_name_Hall '-R 3'
loop_
_atom_site_label
_atom_site_type_symbol
_atom_site_fract_x
_atom_site_fract_y
_atom_site_fract_z
Cu1 Cu 0.0000 0.0000 0.0000
Ni1 Ni 0.0270 0.2390 0.0708
Ni2 Ni 0.0643 0.2422 0.4262
Ge1 Ge 0.0413 0.1997 0.7440

2.
# TiSn3Te (PBE-GGA, relaxed)
# - formation energy (no corrections) (eV per atom) = 0.2575
# - calculated volume (Å³ per cell) = 155
# - crystal system = cubic
data_TiSn3Te
_cell_length_a 5.370
_cell_length_b 5.370
_cell_length_c 5.370
_cell_angle_alpha 90.00
_cell_angle_beta 90.00
_cell_angle_gamma 90.00
_symmetry_space_group_name_H-M 'P m -3 m'
_symmetry_Int_Tables_number 221
_symmetry_space_group_name_Hall '-P 4 2 3'
loop_
_atom_site_label
_atom_site_type_symbol
_atom_site_fract_x
_atom_site_fract_y
_atom_site_fract_z
Ti1 Ti 0.000 0.000 0.000
Sn1 Sn 0.000 0.000 0.500
Te1 Te 0.500 0.500 0.500

3.
# HfZr3Os (PBE-GGA, relaxed)
# - E_form (meV/atom) = 186
# - calculated volume (Å³ per cell) = 233
# - crystal system = hexagonal
data_HfZr3Os
_cell_length_a 6.8662
_cell_length_b 6.8662
_cell_length_c 5.6970
_cell_angle_alpha 90.00
_cell_angle_beta 90.00
_cell_angle_gamma 120.00
_symmetry_space_group_name_H-M 'P 63/m m c'
_symmetry_Int_Tables_number 194
_symmetry_space_group_name_Hall '-P 6c 2c'
loop_
_atom_site_label
_atom_site_type_symbol
_atom_site_fract_x
_atom_site_fract_y
_atom_site_fract_z
Hf1 Hf 0.3333 0.6667 0.2500
Zr1 Zr 0.1859 0.3717 0.7500
Os1 Os 0.0000 0.0000 0.0000

4.
# Ho4S5 (PBE-GGA, relaxed)
# - formation energy (no corrections) (eV per atom) = -1.4964
# - calculated volume (Å³ per cell) = 379
# - crystal system = orthorhombic
data_Ho4S5
_cell_length_a 3.559
_cell_length_b 8.126
_cell_length_c 13.100
_cell_angle_alpha 90.00
_cell_angle_beta 90.00
_cell_angle_gamma 90.00
_symmetry_space_group_name_H-M 'I m m m'
_symmetry_Int_Tables_number 71
_symmetry_space_group_name_Hall '-I 2 2'
loop_
_atom_site_label
_atom_site_type_symbol
_atom_site_fract_x
_atom_site_fract_y
_atom_site_fract_z
Ho1 Ho 0.000 0.213 0.131
S1 S 0.000 0.146 0.500
S2 S 0.000 0.500 0.251
S3 S 0.000 0.500 0.500

5.
# Ca2InFe (PBE-GGA, relaxed)
# - E_form (meV/atom) = 180
# - calculated volume (Å³ per cell) = 379
# - crystal system = cubic
data_Ca2InFe
_cell_length_a 7.239
_cell_length_b 7.239
_cell_length_c 7.239
_cell_angle_alpha 90.00
_cell_angle_beta 90.00
_cell_angle_gamma 90.00
_symmetry_space_group_name_H-M 'F -4 3 m'
_symmetry_Int_Tables_number 216
_symmetry_space_group_name_Hall 'F -4 2 3'
loop_
_atom_site_label
_atom_site_type_symbol
_atom_site_fract_x
_atom_site_fract_y
_atom_site_fract_z
Ca1 Ca 0.000 0.000 0.000
Ca2 Ca 0.250 0.250 0.250
In1 In 0.000 0.000 0.500
Fe1 Fe 0.250 0.250 0.750

6.
# La2Pr5NdMg (PBE-GGA, relaxed)
# - E_form (meV/atom) = 74
# - calculated volume (Å³ per cell) = 1280
# - crystal system = orthorhombic
data_La2Pr5NdMg
_cell_length_a 5.707
_cell_length_b 20.453
_cell_length_c 10.969
_cell_angle_alpha 90.00
_cell_angle_beta 90.00
_cell_angle_gamma 90.00
_symmetry_space_group_name_H-M 'C m c 21'
_symmetry_Int_Tables_number 36
loop_
_symmetry_equiv_pos_as_xyz
'x,y,z'
'-x,-y,z+1/2'
'-x,y,z'
'x,-y,z+1/2'
'x+1/2,y+1/2,z'
'-x+1/2,-y+1/2,z+1/2'
'-x+1/2,y+1/2,z'
'x+1/2,-y+1/2,z+1/2'
loop_
_atom_site_label
_atom_site_type_symbol
_atom_site_fract_x
_atom_site_fract_y
_atom_site_fract_z
La1 La 0.000 0.116 0.000
La2 La 0.000 0.116 0.416
Pr1 Pr 0.000 0.014 0.708
Pr2 Pr 0.000 0.286 0.011
Pr3 Pr 0.000 0.288 0.405
Pr4 Pr 0.000 0.381 0.708
Pr5 Pr 0.000 0.499 0.456
Nd1 Nd 0.000 0.199 0.708
Mg1 Mg 0.000 0.405 0.204

Copy entry 6 word for word.
# La2Pr5NdMg (PBE-GGA, relaxed)
# - E_form (meV/atom) = 74
# - calculated volume (Å³ per cell) = 1280
# - crystal system = orthorhombic
data_La2Pr5NdMg
_cell_length_a 5.707
_cell_length_b 20.453
_cell_length_c 10.969
_cell_angle_alpha 90.00
_cell_angle_beta 90.00
_cell_angle_gamma 90.00
_symmetry_space_group_name_H-M 'C m c 21'
_symmetry_Int_Tables_number 36
loop_
_symmetry_equiv_pos_as_xyz
'x,y,z'
'-x,-y,z+1/2'
'-x,y,z'
'x,-y,z+1/2'
'x+1/2,y+1/2,z'
'-x+1/2,-y+1/2,z+1/2'
'-x+1/2,y+1/2,z'
'x+1/2,-y+1/2,z+1/2'
loop_
_atom_site_label
_atom_site_type_symbol
_atom_site_fract_x
_atom_site_fract_y
_atom_site_fract_z
La1 La 0.000 0.116 0.000
La2 La 0.000 0.116 0.416
Pr1 Pr 0.000 0.014 0.708
Pr2 Pr 0.000 0.286 0.011
Pr3 Pr 0.000 0.288 0.405
Pr4 Pr 0.000 0.381 0.708
Pr5 Pr 0.000 0.499 0.456
Nd1 Nd 0.000 0.199 0.708
Mg1 Mg 0.000 0.405 0.204

> Which of these has the highest calculated volume?

La2Pr5NdMg

Please write out number 3 again, unchanged.
# HfZr3Os (PBE-GGA, relaxed)
# - E_form (meV/atom) = 186
# - calculated volume (Å³ per cell) = 233
# - crystal system = hexagonal
data_HfZr3Os
_cell_length_a 6.8662
_cell_length_b 6.8662
_cell_length_c 5.6970
_cell_angle_alpha 90.00
_cell_angle_beta 90.00
_cell_angle_gamma 120.00
_symmetry_space_group_name_H-M 'P 63/m m c'
_symmetry_Int_Tables_number 194
_symmetry_space_group_name_Hall '-P 6c 2c'
loop_
_atom_site_label
_atom_site_type_symbol
_atom_site_fract_x
_atom_site_fract_y
_atom_site_fract_z
Hf1 Hf 0.3333 0.6667 0.2500
Zr1 Zr 0.1859 0.3717 0.7500
Os1 Os 0.0000 0.0000 0.0000